1.
The following is a DFT calculation (GGA-PBE) of HgIr2Pt after structural relaxation.

Its space group is Pmmm.

Cell and atoms, written as POSCAR:
```
HgIr2Pt
1.0
2.7869 0.0000 0.0000
0.0000 4.8482 0.0000
0.0000 0.0000 4.8679
Hg Ir Pt
1 2 1
Direct
0.0000 0.0000 0.0000
0.0000 0.5000 0.5000
0.5000 0.0000 0.5000
0.5000 0.5000 0.0000
```

2.
The following is a DFT calculation (GGA-PBE) of HgIr2Pt after structural relaxation.

Its space group is Cm.

Cell and atoms, written as POSCAR:
```
HgIr2Pt
1.0
4.6292 -1.4288 0.0000
4.6292 1.4288 0.0000
-0.8583 0.0000 4.9391
Hg Ir Pt
1 2 1
Direct
0.0000 0.0000 0.0000
0.2424 0.2424 0.7017
0.5039 0.5039 0.5106
0.7567 0.7567 0.2429
```

3.
The following is a DFT calculation (GGA-PBE) of HgIr2Pt after structural relaxation.

Its space group is I4/mmm.

Cell and atoms, written as POSCAR:
```
HgIr2Pt
1.0
-2.0344 2.0344 3.9148
2.0344 -2.0344 3.9148
2.0344 2.0344 -3.9148
Hg Ir Pt
1 2 1
Direct
0.0000 0.0000 0.0000
0.2500 0.7500 0.5000
0.7500 0.2500 0.5000
0.5000 0.5000 0.0000
```

4.
The following is a DFT calculation (GGA-PBE) of HgIr2Pt after structural relaxation.

Its space group is P4/mmm.

Cell and atoms, written as POSCAR:
```
HgIr2Pt
1.0
2.8409 0.0000 0.0000
0.0000 2.8409 0.0000
0.0000 0.0000 8.1001
Hg Ir Pt
1 2 1
Direct
0.0000 0.0000 0.0000
0.5000 0.5000 0.2717
0.5000 0.5000 0.7283
0.0000 0.0000 0.5000
```

5.
The following is a DFT calculation (GGA-PBE) of HgIr2Pt after structural relaxation.

Its space group is Cmm2.

Cell and atoms, written as POSCAR:
```
HgIr2Pt
1.0
1.3823 -2.4504 0.0000
1.3823 2.4504 0.0000
0.0000 0.0000 9.8040
Hg Ir Pt
1 2 1
Direct
0.0000 0.0000 0.0000
0.0000 0.0000 0.4918
0.5000 0.5000 0.2637
0.5000 0.5000 0.7332
```

6.
The following is a DFT calculation (GGA-PBE) of HgIrPt2 after structural relaxation.

Its space group is P4mm.

Cell and atoms, written as POSCAR:
```
HgIrPt2
1.0
2.8563 0.0000 0.0000
0.0000 2.8563 0.0000
0.0000 0.0000 8.1456
Hg Ir Pt
1 1 2
Direct
0.0000 0.0000 0.0000
0.5000 0.5000 0.2657
0.0000 0.0000 0.4901
0.5000 0.5000 0.7320
```

7.
The following is a DFT calculation (GGA-PBE) of HgIr2Pt after structural relaxation.

Its space group is Pmm2.

Cell and atoms, written as POSCAR:
```
HgIr2Pt
1.0
2.8223 0.0000 0.0000
0.0000 3.8614 0.0000
0.0000 0.0000 6.0626
Hg Ir Pt
1 2 1
Direct
0.0000 0.0000 0.0000
0.0000 0.0000 0.4838
0.5000 0.5000 0.2913
0.5000 0.5000 0.7362
```

8.
The following is a DFT calculation (GGA-PBE) of HgIrPt2 after structural relaxation.

Its space group is Immm.

Cell and atoms, written as POSCAR:
```
HgIrPt2
1.0
-1.3966 2.4510 4.9317
1.3966 -2.4510 4.9317
1.3966 2.4510 -4.9317
Hg Ir Pt
1 1 2
Direct
0.0000 0.0000 0.0000
0.5000 0.5000 0.0000
0.2642 0.7642 0.5000
0.7358 0.2358 0.5000
```

| no. | formation energy (eV/atom) | D(E_F) (states/eV per atom) | M_tot (μB/cell) |
| --- | --- | --- | --- |
| 1 | 0.429 | 1.531 | 0.0 |
| 2 | 0.316 | 0.992 | 0.0 |
| 3 | 0.427 | 1.252 | 0.0 |
| 4 | 0.360 | 0.888 | 0.0 |
| 5 | 0.353 | 0.900 | 0.0 |
| 6 | 0.209 | 1.256 | 0.0 |
| 7 | 0.273 | 1.121 | 0.0 |
| 8 | 0.283 | 1.372 | 0.0 |